! PrErPt3 (PBE, optimized geometry); values from VASP
! Energy relative to the elements in eV/atom: -1.111
! Space-group type: No. 63
&SYSTEM
  ibrav = 0, nat = 10, ntyp = 3
/
ATOMIC_SPECIES
Pr 140.91 Pr.upf
Er 167.26 Er.upf
Pt 195.08 Pt.upf
ATOMIC_POSITIONS angstrom
Pr 1.070 0.000 2.018
Pr 3.210 1.940 11.472
Er 1.070 1.940 7.897
Er 3.210 0.000 5.593
Pt 1.070 0.000 10.095
Pt 3.210 1.940 3.395
Pt 1.070 0.000 12.718
Pt 3.210 1.940 0.773
Pt 3.210 0.000 8.423
Pt 1.070 1.940 5.068
CELL_PARAMETERS angstrom
4.280 0.000 0.000
0.000 3.879 0.000
0.000 -1.940 13.490

=====

! Ca4Tl2CdGa (PBE, optimized geometry); values from VASP
! Energy relative to the elements in eV/atom: -0.421
! Space-group type: No. 166
&SYSTEM
  ibrav = 0, nat = 8, ntyp = 4
/
ATOMIC_SPECIES
Ca 40.08 Ca.upf
Tl 204.38 Tl.upf
Cd 112.41 Cd.upf
Ga 69.72 Ga.upf
ATOMIC_POSITIONS angstrom
Ca -7.640 -0.903 6.191
Ca -8.998 3.066 2.967
Ca -4.315 -1.339 4.365
Ca -5.673 2.629 1.141
Tl -9.999 1.269 5.536
Tl -3.314 0.458 1.796
Cd 0.000 0.000 0.000
Ga -6.657 0.863 3.666
CELL_PARAMETERS angstrom
-2.827 4.223 1.852
-5.144 0.688 -1.523
-5.343 -3.184 7.003